Computed, not measured: ZrUTe4 after structural relaxation at the GGA-PBE level of DFT.

Cell: 7.3860 7.3788 7.3709 Å, 90.00 96.11 90.00°
Closest atoms and distances in Å follow each position.
Space group P2_1/c (No. 14)
Unique sites:
Zr (0.0000, 0.0000, 0.0000) [2 per cell]  6 Te 2.84-2.99
U (0.5000, 0.0000, 0.5000) [2 per cell]  6 Te 3.01-3.25
Te (0.1506, 0.1609, 0.6812) [4 per cell]  2 Zr 2.95-2.99, 1 U 3.25
Te (0.3434, 0.6522, 0.6292) [4 per cell]  1 Zr 2.84, 2 U 3.01-3.07

Computed properties:
D(E_F) = 1.593 states/eV/atom
Formation energy without anion corrections = -0.49 eV/atom
Magnetization = 4.09 Bohr magnetons per cell
E above lowest polymorph = 228 meV per atom